Density functional theory data (PBE) for a relaxed Th2CdIn2 crystal.

abc: 4.791 6.315 10.367
angles: 80.51 76.64 67.71
Fractional coordinates of all 10 atoms:
Th 0.504 0.317 0.676
Th 0.682 0.734 0.901
Th 0.496 0.683 0.324
Th 0.318 0.266 0.099
Cd 0.784 0.093 0.340
Cd 0.216 0.907 0.660
In 0.968 0.177 0.888
In 0.032 0.823 0.112
In 0.140 0.287 0.432
In 0.860 0.713 0.568

Values from the calculation:
For the formation energy, the calculation gives -0.245 eV/atom. The calculation puts the volume at 28.132 Å³ per atom. The space-group type is C2/m. Its total energy is -22.5 eV/f.u.

***

Density functional theory data (PBE) for a relaxed ThCd11In crystal.

abc: 6.067 7.670 7.735
angles: 80.84 66.91 66.06
Fractional coordinates of all 13 atoms:
Cd 0.505 0.792 0.211
Cd 0.000 0.500 0.000
Cd 0.500 0.000 0.500
Cd 0.716 0.792 0.789
Cd 0.996 0.649 0.354
Cd 0.350 0.649 0.646
Cd 0.004 0.351 0.646
Cd 0.000 0.000 0.500
Cd 0.495 0.208 0.789
Cd 0.650 0.351 0.354
Cd 0.284 0.208 0.211
In 0.500 0.500 0.000
Th 0.000 0.000 0.000

Values from the calculation:
For the formation energy, the calculation gives -0.027 eV/atom. The calculation puts the volume at 23.280 Å³ per atom. The space-group type is C2/m. Its total energy is -20.6 eV/f.u.

***

Density functional theory data (PBE) for a relaxed Th2Cd6In crystal.

abc: 3.321 8.940 8.940
angles: 60.00 89.95 89.95
Fractional coordinates of all 9 atoms:
Cd 0.501 0.330 0.000
Cd 0.499 0.000 0.670
Cd 0.499 0.670 0.000
Cd 0.500 0.330 0.670
Cd 0.501 0.000 0.330
Cd 0.500 0.670 0.330
Th 0.000 0.667 0.667
Th 0.000 0.333 0.333
In 0.000 0.000 0.000

Values from the calculation:
For the formation energy, the calculation gives -0.109 eV/atom. The calculation puts the volume at 25.542 Å³ per atom. The space-group type is P6/mmm. Its total energy is -24.0 eV/f.u.